Entry 1:
# Hf2BeZn (PBE, optimized geometry)
# Formation energy, eV/atom: -0.1260
# Polymorph energy (0 for the lowest one), eV/f.u.: 0.000
data_Hf2BeZn
_cell_length_a 3.196
_cell_length_b 3.196
_cell_length_c 6.519
_cell_angle_alpha 90.00
_cell_angle_beta 90.00
_cell_angle_gamma 90.00
_symmetry_space_group_name_H-M 'P 4/m m m'
_symmetry_Int_Tables_number 123
_symmetry_space_group_name_Hall '-P 4 2'
loop_
_atom_site_label
_atom_site_type_symbol
_atom_site_fract_x
_atom_site_fract_y
_atom_site_fract_z
Hf1 Hf 0.000 0.000 0.238
Be1 Be 0.500 0.500 0.000
Zn1 Zn 0.500 0.500 0.500

Entry 2:
# Hf4BeZn (PBE, optimized geometry)
# Formation energy, eV/atom: -0.0821
data_Hf4BeZn
_cell_length_a 6.850
_cell_length_b 6.850
_cell_length_c 4.748
_cell_angle_alpha 90.00
_cell_angle_beta 90.00
_cell_angle_gamma 90.00
_symmetry_space_group_name_H-M 'P 4/m c c'
_symmetry_Int_Tables_number 124
_symmetry_space_group_name_Hall '-P 4 2c'
loop_
_atom_site_label
_atom_site_type_symbol
_atom_site_fract_x
_atom_site_fract_y
_atom_site_fract_z
Hf1 Hf 0.145 0.339 0.000
Be1 Be 0.000 0.000 0.250
Zn1 Zn 0.500 0.500 0.250

Entry 3:
# Hf2BeZn (PBE, optimized geometry)
# Formation energy, eV/atom: 0.5659
# Polymorph energy (0 for the lowest one), eV/f.u.: 2.768
data_Hf2BeZn
_cell_length_a 2.9063
_cell_length_b 2.9063
_cell_length_c 30.7679
_cell_angle_alpha 90.00
_cell_angle_beta 90.00
_cell_angle_gamma 120.00
_symmetry_space_group_name_H-M 'R -3 m'
_symmetry_Int_Tables_number 166
_symmetry_space_group_name_Hall '-R 3 2"'
loop_
_atom_site_label
_atom_site_type_symbol
_atom_site_fract_x
_atom_site_fract_y
_atom_site_fract_z
Hf1 Hf 0.0000 0.0000 0.0867
Be1 Be 0.0000 0.0000 0.0000
Zn1 Zn 0.0000 0.0000 0.5000

Entry 4:
# HfBe2Zn (PBE, optimized geometry)
# Formation energy, eV/atom: 0.3097
data_HfBe2Zn
_cell_length_a 3.986
_cell_length_b 3.986
_cell_length_c 15.000
_cell_angle_alpha 90.00
_cell_angle_beta 90.00
_cell_angle_gamma 90.00
_symmetry_space_group_name_H-M 'I 41/a m d'
_symmetry_Int_Tables_number 141
loop_
_symmetry_equiv_pos_as_xyz
'x,y,z'
'-x,-y,-z'
'-y+1/4,x+3/4,z+1/4'
'y+1/4,-x+3/4,-z+1/4'
'-x+1/2,-y,z+1/2'
'x+1/2,y,-z+1/2'
'y+1/4,-x+1/4,z+3/4'
'-y+1/4,x+1/4,-z+3/4'
'x,-y,-z'
'-x,y,z'
'-y+1/4,-x+1/4,-z+3/4'
'y+1/4,x+1/4,z+3/4'
'-x+1/2,y,-z+1/2'
'x+1/2,-y,z+1/2'
'y+1/4,x+3/4,-z+1/4'
'-y+1/4,-x+3/4,z+1/4'
'x+1/2,y+1/2,z+1/2'
'-x+1/2,-y+1/2,-z+1/2'
'-y+3/4,x+1/4,z+3/4'
'y+3/4,-x+1/4,-z+3/4'
'-x,-y+1/2,z'
'x,y+1/2,-z'
'y+3/4,-x+3/4,z+1/4'
'-y+3/4,x+3/4,-z+1/4'
'x+1/2,-y+1/2,-z+1/2'
'-x+1/2,y+1/2,z+1/2'
'-y+3/4,-x+3/4,-z+1/4'
'y+3/4,x+3/4,z+1/4'
'-x,y+1/2,-z'
'x,-y+1/2,z'
'y+3/4,x+1/4,-z+3/4'
'-y+3/4,-x+1/4,z+3/4'
loop_
_atom_site_label
_atom_site_type_symbol
_atom_site_fract_x
_atom_site_fract_y
_atom_site_fract_z
Hf1 Hf 0.000 0.250 0.375
Be1 Be 0.000 0.000 0.000
Zn1 Zn 0.000 0.250 0.875

Entry 5:
# Hf2Be2Zn (PBE, optimized geometry)
# Formation energy, eV/atom: -0.2310
# Polymorph energy (0 for the lowest one), eV/f.u.: 0.000
data_Hf2Be2Zn
_cell_length_a 6.177
_cell_length_b 6.177
_cell_length_c 3.926
_cell_angle_alpha 90.00
_cell_angle_beta 90.00
_cell_angle_gamma 90.00
_symmetry_space_group_name_H-M 'P 4/m b m'
_symmetry_Int_Tables_number 127
_symmetry_space_group_name_Hall '-P 4 2ab'
loop_
_atom_site_label
_atom_site_type_symbol
_atom_site_fract_x
_atom_site_fract_y
_atom_site_fract_z
Hf1 Hf 0.172 0.328 0.000
Be1 Be 0.125 0.625 0.500
Zn1 Zn 0.000 0.000 0.500

Entry 6:
# Hf11Be4Zn9 (PBE, optimized geometry)
# Formation energy, eV/atom: -0.1459
data_Hf11Be4Zn9
_cell_length_a 12.725
_cell_length_b 19.187
_cell_length_c 3.308
_cell_angle_alpha 90.00
_cell_angle_beta 90.00
_cell_angle_gamma 90.00
_symmetry_space_group_name_H-M 'C m m m'
_symmetry_Int_Tables_number 65
_symmetry_space_group_name_Hall '-C 2 2'
loop_
_atom_site_label
_atom_site_type_symbol
_atom_site_fract_x
_atom_site_fract_y
_atom_site_fract_z
Hf1 Hf 0.000 0.000 0.000
Hf2 Hf 0.000 0.165 0.000
Hf3 Hf 0.000 0.367 0.000
Hf4 Hf 0.202 0.500 0.000
Hf5 Hf 0.241 0.171 0.000
Be1 Be 0.148 0.402 0.500
Zn1 Zn 0.000 0.500 0.500
Zn2 Zn 0.106 0.265 0.500
Zn3 Zn 0.143 0.072 0.500

- What is the formation energy in the fifth record?
  -0.2310 eV/atom

- Among the records above, which one has the lowest formation energy?
  Hf2Be2Zn

- The highest formation energy belongs to which entry?
  number 3

- What is the formula in the second record?
  Hf4BeZn